A plane-wave DFT calculation with PBE was carried out for a relaxed structure of Ba8As3PdCl4.

As for the crystal system: monoclinic. As for the total energy: -4.181 eV per atom. The total moment is 0.6 μB per formula unit. The calculation puts the uncorrected formation energy at -1561 meV/atom.

It has space group C2/m (No. 12), with a = 16.302 Å, b = 9.450 Å, c = 9.421 Å, α = 90.00°, β = 125.04° and γ = 90.00°. The distinct sites, in fractional coordinates, are Ba at (0.007, 0.249, 0.243), Ba at (0.244, 0.000, 0.256), Ba at (0.244, 0.500, 0.259), As at (0.000, 0.000, 0.000), As at (0.250, 0.250, 0.500), Pd at (0.000, 0.500, 0.000), Cl at (0.000, 0.000, 0.500), Cl at (0.000, 0.500, 0.500) and Cl at (0.250, 0.250, 0.000).